Entry from the Alexandria database: a relaxed MnFe2O4 crystal (PBE with a Hubbard U). Values from VASP.

Geometry as Quantum ESPRESSO input:
```
&SYSTEM
  ibrav = 0, nat = 14, ntyp = 3
/
ATOMIC_SPECIES
Mn 54.94 Mn.upf
Fe 55.84 Fe.upf
O 16.00 O.upf
ATOMIC_POSITIONS crystal
Mn 0.112 0.888 0.750
Mn 0.888 0.112 0.250
Fe 0.367 0.633 0.573
Fe 0.367 0.633 0.927
Fe 0.633 0.367 0.073
Fe 0.633 0.367 0.427
O 0.000 0.000 0.000
O 0.000 0.000 0.500
O 0.269 0.731 0.111
O 0.269 0.731 0.389
O 0.454 0.546 0.750
O 0.546 0.454 0.250
O 0.731 0.269 0.611
O 0.731 0.269 0.889
CELL_PARAMETERS angstrom
1.492 -4.932 0.000
1.492 4.932 0.000
0.000 0.000 10.060
```

Output
- E above lowest polymorph (eV/atom) = 0.1383
- symmetry = Cmcm
- raw total energy (eV per atom) = -6.976